1.
## K3NaTb2Te6 (PBE-GGA)

Data for K3NaTb2Te6 after structural relaxation.

a b c (Å): 7.7400 13.4132 8.8361
angles (deg): 90.00 106.96 90.00
Space group C2/m (No. 12)
Asymmetric unit:
K 0.0000 0.0000 0.0000 (multiplicity 2)
K 0.0000 0.3409 0.0000 (multiplicity 4)
Na 0.0000 0.5000 0.5000 (multiplicity 2)
Tb 0.0000 0.1676 0.5000 (multiplicity 4)
Te 0.2206 0.0000 0.7106 (multiplicity 4)
Te 0.2475 0.3245 0.7144 (multiplicity 8)

Properties
Size of the total moment (μB/cell): 0.01

2.
## Gd2HoB2Pd2N3 (PBE-GGA)

Data for Gd2HoB2Pd2N3 after structural relaxation.

a b c (Å): 3.6539 3.6539 20.2888
angles (deg): 90.00 90.00 90.00
Space group I4/mmm (No. 139)
Asymmetric unit:
Gd 0.0000 0.0000 0.1188 (multiplicity 4)
Ho 0.0000 0.0000 0.5000 (multiplicity 2)
B 0.0000 0.0000 0.3157 (multiplicity 4)
Pd 0.0000 0.5000 0.2500 (multiplicity 4)
N 0.0000 0.0000 0.0000 (multiplicity 2)
N 0.0000 0.0000 0.3863 (multiplicity 4)

Properties
Size of the total moment (μB/cell): 0.04

3.
## ZrFeSiIr (PBE-GGA)

Data for ZrFeSiIr after structural relaxation.

a b c (Å): 6.2905 6.2905 6.2905
angles (deg): 90.00 90.00 90.00
Space group F-43m (No. 216)
Asymmetric unit:
Zr 0.0000 0.0000 0.0000 (multiplicity 4)
Fe 0.0000 0.0000 0.5000 (multiplicity 4)
Si 0.2500 0.2500 0.2500 (multiplicity 4)
Ir 0.2500 0.2500 0.7500 (multiplicity 4)

Properties
Size of the total moment (μB/cell): 13.15

Which uncorrected energy belongs to each record? In order, -91.58; -148.46; -127.74 eV per cell.